VASP calculation (GGA-PBE) on a relaxed structure of Cs2Cu2NiCl6.

Computed properties:
The uncorrected formation energy comes out at -1.043 eV/atom. As for the size of the total moment: 0.0 μB per formula unit.

Unit cell a=7.9098 b=7.9098 c=6.3791 alpha=98.54 beta=98.54 gamma=52.15
With the nearest neighbours (Å) after each atom.
Fractional coordinates of all 11 atoms:
Cs 0.2051 0.2051 0.2100  8 Cl 3.52-3.81, 1 Ni 3.70
Cs 0.7949 0.7949 0.7900  8 Cl 3.52-3.81, 1 Ni 3.70
Cu 0.4774 0.4774 0.7087  3 Cl 2.24-2.25
Cu 0.5226 0.5226 0.2913  3 Cl 2.24-2.25
Ni 0.0000 0.0000 0.5000  4 Cl 2.22
Cl 0.1622 0.7162 0.2686  1 Ni 2.22, 1 Cu 2.25
Cl 0.2838 0.8378 0.7314  1 Ni 2.22, 1 Cu 2.25
Cl 0.3229 0.3229 0.7400  1 Cu 2.24
Cl 0.6771 0.6771 0.2600  1 Cu 2.24
Cl 0.7162 0.1622 0.2686  1 Ni 2.22, 1 Cu 2.25
Cl 0.8378 0.2838 0.7314  1 Ni 2.22, 1 Cu 2.25